(1)
{
  "formula": "CrTeN2Cl",
  "functional": "PBE",
  "state": "optimized geometry",
  "lattice": [[-1.8535, 3.2868, -0.4471], [-2.2648, -1.6281, -2.5803], [-3.5937, -1.4713, 4.0826]],
  "species": ["Cl", "Cr", "N", "N", "Te"],
  "frac_coords": [[0.5000, 0.5000, 0.5000], [0.0000, 0.0000, 0.0000], [0.0000, 0.5000, 0.0000], [0.5000, 0.0000, 0.0000], [0.0000, 0.0000, 0.5000]],
  "de_polymorph_kj_per_mol_atoms": 0.0
}

***

(2)
{
  "formula": "DyNbI2",
  "functional": "PBE",
  "state": "optimized geometry",
  "lattice": [[-1.8202, -1.5766, 2.6625], [-0.1292, -3.5814, 0.2112], [7.7060, -1.6827, 6.6920]],
  "species": ["I", "I", "Dy", "Nb"],
  "frac_coords": [[0.9086, 0.9086, 0.2743], [0.0914, 0.0914, 0.7257], [0.5000, 0.5000, 0.5000], [0.0000, 0.0000, 0.0000]],
  "energy_ev_per_cell": -17.37
}

***

(3)
{
  "formula": "Na2Cr2Os",
  "functional": "PBE",
  "state": "optimized geometry",
  "lattice": [[-7.3105, 2.2220, 1.5817], [-2.7251, -5.7633, -4.4989], [-0.0417, -1.7598, 2.2796]],
  "species": ["Cr", "Cr", "Cr", "Cr", "Os", "Os", "Na", "Na", "Na", "Na"],
  "frac_coords": [[0.6948, 0.8052, 0.5000], [0.8052, 0.3052, 0.5000], [0.1948, 0.6948, 0.5000], [0.3052, 0.1948, 0.5000], [0.5000, 0.5000, 0.0000], [0.0000, 0.0000, 0.0000], [0.3875, 0.8875, 0.0000], [0.6125, 0.1125, 0.0000], [0.8875, 0.6125, 0.0000], [0.1125, 0.3875, 0.0000]],
  "de_polymorph_kj_per_mol_atoms": 23.5,
  "ef_mev_per_atom": 1447
}

***

(4)
{
  "formula": "Li2InSi",
  "functional": "PBE",
  "state": "optimized geometry",
  "lattice": [[-2.3556, 0.4520, 4.2614], [-3.8586, -1.6503, 2.5100], [2.2439, -3.6668, 2.4759]],
  "species": ["Li", "Li", "Si", "In"],
  "frac_coords": [[0.9972, 0.9972, 0.9924], [0.7596, 0.7596, 0.7405], [0.4997, 0.4997, 0.5195], [0.2435, 0.2435, 0.2476]],
  "energy_ev_per_cell": -12.30
}

***

(5)
{
  "formula": "YAlFe2I",
  "functional": "PBE",
  "state": "optimized geometry",
  "lattice": [[4.6843, 0.0000, 0.0000], [0.0000, 5.6316, 0.0000], [0.0000, 0.0000, 4.6843]],
  "species": ["Fe", "Fe", "Y", "Al", "I"],
  "frac_coords": [[0.0000, 0.0000, 0.5000], [0.5000, 0.0000, 0.0000], [0.0000, 0.5000, 0.0000], [0.5000, 0.5000, 0.5000], [0.0000, 0.0000, 0.0000]],
  "energy_ev_per_cell": -23.76
}

***

(6)
{
  "formula": "ScTi2Ga2",
  "functional": "PBE",
  "state": "optimized geometry",
  "lattice": [[-3.3526, -6.4238, 1.1557], [6.3669, -3.5047, -1.0101], [0.6411, 0.2416, 3.2030]],
  "species": ["Ga", "Ga", "Ga", "Ga", "Ti", "Ti", "Ti", "Ti", "Sc", "Sc"],
  "frac_coords": [[0.8757, 0.6243, 0.0000], [0.1243, 0.3757, 0.0000], [0.3757, 0.8757, 0.0000], [0.6243, 0.1243, 0.0000], [0.6749, 0.8251, 0.5000], [0.1749, 0.6749, 0.5000], [0.3251, 0.1749, 0.5000], [0.8251, 0.3251, 0.5000], [0.5000, 0.5000, 0.0000], [0.0000, 0.0000, 0.0000]],
  "de_polymorph_kj_per_mol_atoms": 0.0,
  "ef_mev_per_atom": -405
}